26
Lattice="6.419 0.000 0.000 -3.209 5.559 0.000 0.000 0.000 10.466" Properties=species:S:1:pos:R:3 comment="BaYZn3GaO7 (PBE-GGA, optimized geometry)" spacegroup="P6_3mc (186)" e_tot_ev_per_cell=-156.00 pbc="T T T"
Ba 3.209 1.853 10.247
Ba 0.000 3.706 5.014
Y 3.209 1.853 6.622
Y 0.000 3.706 1.389
Zn -1.565 4.609 8.554
Zn 1.565 4.609 8.554
Zn 0.000 1.899 8.554
Zn 4.774 0.950 3.321
Zn 1.645 0.950 3.321
Zn 3.209 3.659 3.321
Ga 0.000 0.000 0.705
Ga 0.000 0.000 5.938
O 1.683 2.734 8.035
O 4.736 2.734 8.035
O 3.209 0.090 8.035
O 1.527 2.824 2.802
O -1.527 2.824 2.802
O 0.000 5.468 2.802
O 0.000 0.000 2.598
O 0.000 0.000 7.831
O -1.677 4.674 0.107
O 1.677 4.674 0.107
O 0.000 1.769 0.107
O 4.886 0.885 5.340
O 1.532 0.885 5.340
O 3.209 3.789 5.340